Record 1
First-principles (PBE-GGA) data for a geometry-optimized HoSc3Hg4 structure, as listed in Alexandria.

## Properties
Energy relative to the elements = -0.435 eV per atom
DOS at the Fermi energy = 15.1 states/eV/cell

```
HoSc3Hg4
1.0
-5.0032 0.0740 -0.2728
-0.4072 -1.2964 7.1148
0.0478 9.8583 1.7990
Sc Hg Ho
6 8 2
Direct
0.4997 0.5000 0.7500
0.0000 0.0000 0.0000
0.0000 0.0000 0.5000
0.5004 0.0000 0.2500
0.4996 0.0000 0.7500
0.5003 0.5000 0.2500
0.9997 0.2392 0.7500
0.5000 0.2392 0.0000
0.0003 0.2392 0.2500
0.5000 0.7608 0.5000
0.5000 0.2392 0.5000
0.0003 0.7608 0.2500
0.5000 0.7608 0.0000
0.9997 0.7608 0.7500
0.0000 0.5000 0.0000
0.0000 0.5000 0.5000
```



Record 2
First-principles (PBE-GGA) data for a geometry-optimized Ho8Sc2Hg structure, as listed in Alexandria.

## Properties
Energy relative to the elements = 0.009 eV per atom
DOS at the Fermi energy = 18.3 states/eV/cell

```
Ho8Sc2Hg
1.0
-1.0350 2.8524 4.2933
-1.9307 -6.6220 3.9342
8.6630 0.8092 -1.6682
Ho Sc Hg
8 2 1
Direct
0.1670 0.2129 0.3340
0.3855 0.5665 0.7710
0.9813 0.2708 0.9625
0.3322 0.0912 0.6644
0.6678 0.9088 0.3356
0.6145 0.4335 0.2290
0.8330 0.7871 0.6660
0.0187 0.7292 0.0375
0.1975 0.6518 0.3950
0.8025 0.3482 0.6050
0.5000 0.0000 0.0000
```



Record 3
First-principles (PBE-GGA) data for a geometry-optimized HoSc5Hg4 structure, as listed in Alexandria.

## Properties
Energy relative to the elements = -0.326 eV per atom
DOS at the Fermi energy = 12.7 states/eV/cell

```
HoSc5Hg4
1.0
3.4965 0.0000 0.0000
0.0000 3.4965 0.0000
0.0000 0.0000 18.9101
Hg Sc Ho
4 5 1
Direct
0.0000 0.0000 0.5944
0.0000 0.0000 0.7838
0.0000 0.0000 0.4056
0.0000 0.0000 0.2162
0.5000 0.5000 0.5000
0.5000 0.5000 0.3126
0.5000 0.5000 0.6874
0.5000 0.5000 0.8773
0.5000 0.5000 0.1227
0.0000 0.0000 0.0000
```



Record 4
First-principles (PBE-GGA) data for a geometry-optimized HoSc2Hg3 structure, as listed in Alexandria.

## Properties
Energy relative to the elements = -0.440 eV per atom
DOS at the Fermi energy = 5.8 states/eV/cell

```
HoSc2Hg3
1.0
-1.5651 -2.1294 2.4168
0.5065 -2.8163 -2.1533
9.5660 -1.8021 4.6071
Sc Hg Ho
2 3 1
Direct
0.5000 0.5000 0.1605
0.5000 0.5000 0.8395
0.0000 0.0000 0.3190
0.0000 0.0000 0.6810
0.0000 0.0000 0.0000
0.5000 0.5000 0.5000
```



Record 5
First-principles (PBE-GGA) data for a geometry-optimized Ho2ScHg structure, as listed in Alexandria.

## Properties
Relative energy among the computed polymorphs = 0.00 kJ per mole of atoms
Energy relative to the elements = -0.209 eV per atom
DOS at the Fermi energy = 5.2 states/eV/cell

```
Ho2ScHg
1.0
3.5306 0.0000 0.0000
0.0000 3.5306 0.0000
0.0000 0.0000 8.6022
Ho Sc Hg
2 1 1
Direct
0.0000 0.0000 0.7623
0.0000 0.0000 0.2377
0.5000 0.5000 0.5000
0.5000 0.5000 0.0000
```



Record 6
First-principles (PBE-GGA) data for a geometry-optimized Ho2ScHg2 structure, as listed in Alexandria.

## Properties
Energy relative to the elements = -0.284 eV per atom
DOS at the Fermi energy = 6.5 states/eV/cell

```
Ho2ScHg2
1.0
4.0119 0.0000 0.0000
2.0060 5.8564 0.0799
2.0060 1.6453 5.6211
Hg Sc Ho
2 1 2
Direct
0.5000 0.7131 0.2869
0.5000 0.2869 0.7131
0.0000 0.0000 0.0000
0.7917 0.7083 0.7083
0.2083 0.2917 0.2917
```



Record 7
First-principles (PBE-GGA) data for a geometry-optimized Ho2Sc3Hg2 structure, as listed in Alexandria.

## Properties
Energy relative to the elements = -0.217 eV per atom
DOS at the Fermi energy = 9.2 states/eV/cell

```
Ho2Sc3Hg2
1.0
4.7911 0.0000 0.0000
-2.3955 5.0312 -0.2496
0.0000 -2.5826 7.5313
Sc Ho Hg
3 2 2
Direct
0.6393 0.2786 0.4516
0.3607 0.7214 0.5484
0.5000 0.0000 0.0000
0.8863 0.7727 0.2450
0.1137 0.2273 0.7550
0.1706 0.3412 0.1809
0.8294 0.6588 0.8191
```



Record 8
First-principles (PBE-GGA) data for a geometry-optimized Ho3Sc2Hg3 structure, as listed in Alexandria.

## Properties
Energy relative to the elements = -0.350 eV per atom
DOS at the Fermi energy = 10.9 states/eV/cell

```
Ho3Sc2Hg3
1.0
-0.7127 3.4551 0.9598
-1.3674 -1.5923 4.7166
11.1722 0.2333 0.4925
Ho Hg Sc
3 3 2
Direct
0.3751 0.3751 0.7502
0.6249 0.6249 0.2498
0.5000 0.0000 0.0000
0.0000 0.5000 0.0000
0.8736 0.8736 0.7472
0.1264 0.1264 0.2528
0.2645 0.7645 0.5289
0.7355 0.2355 0.4711
```



Record 9
First-principles (PBE-GGA) data for a geometry-optimized Ho2ScHg structure, as listed in Alexandria.

## Properties
Relative energy among the computed polymorphs = 12.91 kJ per mole of atoms
Energy relative to the elements = -0.075 eV per atom
DOS at the Fermi energy = 5.7 states/eV/cell

```
Ho2ScHg
1.0
-2.1116 -4.8484 -0.0679
-0.5640 -2.7021 4.5113
-4.8237 -0.8118 2.0108
Ho Hg Sc
2 1 1
Direct
0.7500 0.7500 0.7500
0.2500 0.2500 0.2500
0.0000 0.0000 0.0000
0.5000 0.5000 0.5000
```



Record 10
First-principles (PBE-GGA) data for a geometry-optimized HoScHg6 structure, as listed in Alexandria.

## Properties
Relative energy among the computed polymorphs = 0.00 kJ per mole of atoms
Energy relative to the elements = -0.255 eV per atom
DOS at the Fermi energy = 4.9 states/eV/cell

```
HoScHg6
1.0
-0.2606 4.4242 0.3725
-1.3779 -0.4354 4.2062
8.9787 0.2788 2.9701
Hg Ho Sc
6 1 1
Direct
0.0000 0.5000 0.7444
0.0000 0.5000 0.2556
0.5000 0.5000 0.5000
0.5000 0.0000 0.2556
0.5000 0.0000 0.7444
0.5000 0.5000 0.0000
0.0000 0.0000 0.0000
0.0000 0.0000 0.5000
```



Record 11
First-principles (PBE-GGA) data for a geometry-optimized Ho3ScHg6 structure, as listed in Alexandria.

## Properties
Energy relative to the elements = -0.397 eV per atom
DOS at the Fermi energy = 13.6 states/eV/cell

```
Ho3ScHg6
1.0
5.1062 0.0000 0.0000
0.0000 8.5434 -2.7562
0.0000 0.0719 11.0205
Ho Hg Sc
6 12 2
Direct
0.2500 0.5215 0.3878
0.7500 0.2269 0.0074
0.7500 0.6482 0.2114
0.7500 0.4785 0.6122
0.2500 0.3518 0.7886
0.2500 0.7731 0.9926
0.7500 0.9412 0.1226
0.7500 0.7661 0.5033
0.7500 0.1463 0.6877
0.2500 0.4696 0.0874
0.2500 0.2339 0.4967
0.2500 0.0588 0.8774
0.2500 0.6629 0.6946
0.7500 0.5304 0.9126
0.2500 0.1490 0.1798
0.7500 0.3371 0.3054
0.7500 0.8510 0.8202
0.2500 0.8537 0.3123
0.2500 0.9426 0.5971
0.7500 0.0574 0.4029
```



Record 12
First-principles (PBE-GGA) data for a geometry-optimized Ho2ScHg3 structure, as listed in Alexandria.

## Properties
Relative energy among the computed polymorphs = 0.00 kJ per mole of atoms
Energy relative to the elements = -0.457 eV per atom
DOS at the Fermi energy = 5.7 states/eV/cell

```
Ho2ScHg3
1.0
-1.1956 1.0592 3.2641
-3.2922 0.6216 -1.4075
-2.9318 -10.3529 2.2857
Ho Hg Sc
2 3 1
Direct
0.5000 0.5000 0.1724
0.5000 0.5000 0.8276
0.0000 0.0000 0.3474
0.0000 0.0000 0.6526
0.0000 0.0000 0.0000
0.5000 0.5000 0.5000
```



Respective size of the total moment values: 0.8 0.0 0.0 0.0 0.0 0.0 0.0 0.0 0.7 0.0 0.0 0.0 Bohr magnetons per cell.
Respective energy values: -3.533 -4.498 -4.071 -3.464 -4.156 -3.503 -4.324 -3.763 -4.022 -1.845 -2.585 -3.189 eV/atom.